The following is a DFT calculation (PBE) of a geometry-optimized LaDyAu4 structure.

- Calculated volume: 136 Å³/cell
- E above lowest polymorph: 0.004 eV per atom
- SG: No. 123
- Total magnetization: 0.00 μB per formula unit

a = 3.8134 Å, b = 3.8134 Å, c = 9.3682 Å
α = 90.00°, β = 90.00°, γ = 90.00°
Last column: nearest neighbours and their distance in Å.
Atoms (fractional coordinates):
La 0.0000 0.0000 0.0000  10 Au 3.17-3.20
Dy 0.5000 0.5000 0.5000  10 Au 3.02-3.08
Au 0.0000 0.0000 0.3421  5 Au 2.96-3.11, 4 Dy 3.08, 1 La 3.20
Au 0.0000 0.0000 0.6579  5 Au 2.96-3.11, 4 Dy 3.08, 1 La 3.20
Au 0.5000 0.5000 0.1774  1 Dy 3.02, 5 Au 3.11-3.32, 4 La 3.17
Au 0.5000 0.5000 0.8226  1 Dy 3.02, 5 Au 3.11-3.32, 4 La 3.17

---

The following is a DFT calculation (PBE) of a geometry-optimized La2DyAu2 structure.

- Calculated volume: 283 Å³/cell
- SG: No. 127
- Total magnetization: 0.00 μB per formula unit

a = 8.4082 Å, b = 8.4082 Å, c = 4.0045 Å
α = 90.00°, β = 90.00°, γ = 90.00°
Last column: nearest neighbours and their distance in Å.
Atoms (fractional coordinates):
La 0.1670 0.3330 0.0000  6 Au 3.12-3.22
La 0.3330 0.8330 0.0000  6 Au 3.12-3.22
La 0.6670 0.1670 0.0000  6 Au 3.12-3.22
La 0.8330 0.6670 0.0000  6 Au 3.12-3.22
Dy 0.0000 0.0000 0.5000  4 Au 3.29
Dy 0.5000 0.5000 0.5000  4 Au 3.29
Au 0.1313 0.6313 0.5000  1 Au 3.12, 6 La 3.12-3.22, 2 Dy 3.29
Au 0.3687 0.1313 0.5000  1 Au 3.12, 6 La 3.12-3.22, 2 Dy 3.29
Au 0.6313 0.8687 0.5000  1 Au 3.12, 6 La 3.12-3.22, 2 Dy 3.29
Au 0.8687 0.3687 0.5000  1 Au 3.12, 6 La 3.12-3.22, 2 Dy 3.29

---

The following is a DFT calculation (PBE) of a geometry-optimized La3DyAu7 structure.

- Calculated volume: 563 Å³/cell
- SG: No. 63
- Total magnetization: 0.00 μB per formula unit

a = 11.0403 Å, b = 11.0403 Å, c = 13.3669 Å
α = 90.00°, β = 90.00°, γ = 159.78°
Last column: nearest neighbours and their distance in Å.
Atoms (fractional coordinates):
La 0.1324 0.8676 0.5495  9 Au 3.10-3.32
La 0.1324 0.8676 0.9505  9 Au 3.10-3.32
La 0.2102 0.7898 0.2500  8 Au 3.14-3.34
La 0.7898 0.2102 0.7500  8 Au 3.14-3.34
La 0.8676 0.1324 0.0495  9 Au 3.10-3.32
La 0.8676 0.1324 0.4505  9 Au 3.10-3.32
Dy 0.0083 0.9917 0.2500  8 Au 2.95-3.17
Dy 0.9917 0.0083 0.7500  8 Au 2.95-3.17
Au 0.2754 0.7246 0.5669  3 Au 2.82-2.86, 3 La 3.12-3.14
Au 0.2754 0.7246 0.9331  3 Au 2.82-2.86, 3 La 3.12-3.14
Au 0.3810 0.6190 0.2500  2 Au 2.94
Au 0.3966 0.6034 0.6430  3 Au 2.82-2.86
Au 0.3966 0.6034 0.8570  3 Au 2.82-2.86
Au 0.4755 0.5245 0.0923  3 Au 2.69-2.94, 2 Dy 2.95
Au 0.4755 0.5245 0.4077  3 Au 2.69-2.94, 2 Dy 2.95
Au 0.5245 0.4755 0.5923  3 Au 2.69-2.94, 2 Dy 2.95
Au 0.5245 0.4755 0.9077  3 Au 2.69-2.94, 2 Dy 2.95
Au 0.6034 0.3966 0.1430  3 Au 2.82-2.86
Au 0.6034 0.3966 0.3570  3 Au 2.82-2.86
Au 0.6190 0.3810 0.7500  2 Au 2.94
Au 0.7246 0.2754 0.0669  3 Au 2.82-2.86, 3 La 3.12-3.14
Au 0.7246 0.2754 0.4331  3 Au 2.82-2.86, 3 La 3.12-3.14

---

The following is a DFT calculation (PBE) of a geometry-optimized LaDyAu4 structure.

- Calculated volume: 137 Å³/cell
- E above lowest polymorph: 0.000 eV per atom
- SG: No. 2
- Total magnetization: 0.00 μB per formula unit

a = 3.8376 Å, b = 5.2926 Å, c = 7.7527 Å
α = 70.26°, β = 89.95°, γ = 69.05°
Last column: nearest neighbours and their distance in Å.
Atoms (fractional coordinates):
La 0.0000 0.0000 0.0000  10 Au 3.14-3.21
Dy 0.0000 0.0000 0.5000  10 Au 3.03-3.07
Au 0.3338 0.3340 0.6583  5 Au 3.02-3.09, 3 Dy 3.06-3.07, 2 La 3.20-3.21
Au 0.3428 0.3210 0.1920  3 Au 3.02-3.08, 2 Dy 3.03, 3 La 3.14-3.18
Au 0.6572 0.6790 0.8080  3 Au 3.02-3.08, 2 Dy 3.03, 3 La 3.14-3.18
Au 0.6662 0.6660 0.3417  5 Au 3.02-3.09, 3 Dy 3.06-3.07, 2 La 3.20-3.21

---

The following is a DFT calculation (PBE) of a geometry-optimized LaDyAu3 structure.

- Calculated volume: 246 Å³/cell
- SG: No. 63
- Total magnetization: 0.00 μB per formula unit

a = 14.3645 Å, b = 14.3645 Å, c = 4.6222 Å
α = 90.00°, β = 90.00°, γ = 165.08°
Last column: nearest neighbours and their distance in Å.
Atoms (fractional coordinates):
La 0.0737 0.9263 0.7500  10 Au 3.26-3.41
La 0.9263 0.0737 0.2500  10 Au 3.26-3.41
Dy 0.2068 0.7932 0.2500  7 Au 3.00-3.02
Dy 0.7932 0.2068 0.7500  7 Au 3.00-3.02
Au 0.3130 0.6870 0.2500  2 Au 2.92, 5 Dy 3.02
Au 0.3756 0.6244 0.7500  3 Au 2.78-2.92, 2 Dy 3.00
Au 0.4733 0.5267 0.7500  3 Au 2.77-2.78
Au 0.5267 0.4733 0.2500  3 Au 2.77-2.78
Au 0.6244 0.3756 0.2500  3 Au 2.78-2.92, 2 Dy 3.00
Au 0.6870 0.3130 0.7500  2 Au 2.92, 5 Dy 3.02

---

The following is a DFT calculation (PBE) of a geometry-optimized La2Dy3Au4 structure.

- Calculated volume: 483 Å³/cell
- SG: No. 14
- Total magnetization: 0.00 μB per formula unit

a = 7.8690 Å, b = 7.6719 Å, c = 8.5426 Å
α = 90.00°, β = 110.67°, γ = 90.00°
Last column: nearest neighbours and their distance in Å.
Atoms (fractional coordinates):
La 0.1924 0.1708 0.0922  5 Au 3.19-3.36
La 0.1924 0.3292 0.5922  5 Au 3.19-3.36
La 0.8076 0.6708 0.4078  5 Au 3.19-3.36
La 0.8076 0.8292 0.9078  5 Au 3.19-3.36
Dy 0.2450 0.6508 0.2514  6 Au 2.96-3.08
Dy 0.2450 0.8492 0.7514  6 Au 2.96-3.08
Dy 0.5000 0.0000 0.5000  6 Au 2.98-3.32
Dy 0.5000 0.5000 0.0000  6 Au 2.98-3.32
Dy 0.7550 0.1508 0.2486  6 Au 2.96-3.08
Dy 0.7550 0.3492 0.7486  6 Au 2.96-3.08
Au 0.0984 0.5478 0.8798  4 Dy 2.96-3.07, 1 Au 3.07, 2 La 3.22-3.27
Au 0.0984 0.9522 0.3798  4 Dy 2.96-3.07, 1 Au 3.07, 2 La 3.22-3.27
Au 0.4845 0.6341 0.6252  5 Dy 2.97-3.32, 1 Au 3.04, 2 La 3.19-3.22
Au 0.4845 0.8659 0.1252  5 Dy 2.97-3.32, 1 Au 3.04, 2 La 3.19-3.22
Au 0.5155 0.1341 0.8748  5 Dy 2.97-3.32, 1 Au 3.04, 2 La 3.19-3.22
Au 0.5155 0.3659 0.3748  5 Dy 2.97-3.32, 1 Au 3.04, 2 La 3.19-3.22
Au 0.9016 0.0478 0.6202  4 Dy 2.96-3.07, 1 Au 3.07, 2 La 3.22-3.27
Au 0.9016 0.4522 0.1202  4 Dy 2.96-3.07, 1 Au 3.07, 2 La 3.22-3.27

---

The following is a DFT calculation (PBE) of a geometry-optimized La2DyAu structure.

- Calculated volume: 124 Å³/cell
- E above lowest polymorph: 0.050 eV per atom
- SG: No. 123
- Total magnetization: 0.00 μB per formula unit

a = 3.8187 Å, b = 3.8187 Å, c = 8.4804 Å
α = 90.00°, β = 90.00°, γ = 90.00°
Last column: nearest neighbours and their distance in Å.
Atoms (fractional coordinates):
La 0.0000 0.0000 0.2143  4 Au 3.25, 4 Dy 3.63, 1 La 3.63
La 0.0000 0.0000 0.7857  4 Au 3.25, 4 Dy 3.63, 1 La 3.63
Dy 0.5000 0.5000 0.5000  8 La 3.63, 4 Dy 3.82
Au 0.5000 0.5000 0.0000  8 La 3.25

---

The following is a DFT calculation (PBE) of a geometry-optimized LaDy2Au6 structure.

- Calculated volume: 210 Å³/cell
- SG: No. 71
- Total magnetization: 0.00 μB per formula unit

a = 8.5067 Å, b = 8.5067 Å, c = 8.5067 Å
α = 154.83°, β = 126.22°, γ = 60.27°
Last column: nearest neighbours and their distance in Å.
Atoms (fractional coordinates):
La 0.0000 0.0000 0.0000  4 Au 3.08
Dy 0.3582 0.8582 0.5000  10 Au 3.03-3.12
Dy 0.6418 0.1418 0.5000  10 Au 3.03-3.12
Au 0.0117 0.3221 0.6896  4 Au 2.80-2.97, 3 Dy 3.03-3.07
Au 0.3197 0.5000 0.8197  3 Au 2.78-2.80, 2 La 3.08
Au 0.3675 0.6779 0.6896  4 Au 2.80-2.97, 3 Dy 3.03-3.07
Au 0.6325 0.3221 0.3104  4 Au 2.80-2.97, 3 Dy 3.03-3.07
Au 0.6803 0.5000 0.1803  3 Au 2.78-2.80, 2 La 3.08
Au 0.9883 0.6779 0.3104  4 Au 2.80-2.97, 3 Dy 3.03-3.07

---

The following is a DFT calculation (PBE) of a geometry-optimized La5DyAu6 structure.

- Calculated volume: 316 Å³/cell
- SG: No. 12
- Total magnetization: 0.00 μB per formula unit

a = 9.1934 Å, b = 9.1934 Å, c = 5.2980 Å
α = 106.64°, β = 106.64°, γ = 48.05°
Last column: nearest neighbours and their distance in Å.
Atoms (fractional coordinates):
La 0.0000 0.0000 0.0000  8 Au 3.21-3.36
La 0.1642 0.1642 0.6641  8 Au 3.30-3.33
La 0.3290 0.3290 0.3288  8 Au 3.19-3.35
La 0.6710 0.6710 0.6712  8 Au 3.19-3.35
La 0.8358 0.8358 0.3359  8 Au 3.30-3.33
Dy 0.5000 0.5000 0.0000  8 Au 3.10-3.14
Au 0.1038 0.5780 0.8408  1 Dy 3.10, 7 La 3.19-3.35
Au 0.2752 0.7248 0.5000  2 Dy 3.14, 6 La 3.20-3.36, 1 Au 3.37
Au 0.4220 0.8962 0.1592  1 Dy 3.10, 7 La 3.19-3.35
Au 0.5780 0.1038 0.8408  1 Dy 3.10, 7 La 3.19-3.35
Au 0.7248 0.2752 0.5000  2 Dy 3.14, 6 La 3.20-3.36, 1 Au 3.37
Au 0.8962 0.4220 0.1592  1 Dy 3.10, 7 La 3.19-3.35

---

The following is a DFT calculation (PBE) of a geometry-optimized La2DyAu structure.

- Calculated volume: 508 Å³/cell
- E above lowest polymorph: 0.000 eV per atom
- SG: No. 62
- Total magnetization: 0.00 μB per formula unit

a = 7.2548 Å, b = 10.3937 Å, c = 6.7411 Å
α = 90.00°, β = 90.00°, γ = 90.00°
Last column: nearest neighbours and their distance in Å.
Atoms (fractional coordinates):
La 0.1987 0.0549 0.1783  2 Au 3.09-3.10
La 0.1987 0.4451 0.1783  2 Au 3.09-3.10
La 0.3013 0.5549 0.6783  2 Au 3.09-3.10
La 0.3013 0.9451 0.6783  2 Au 3.09-3.10
La 0.6987 0.0549 0.3217  2 Au 3.09-3.10
La 0.6987 0.4451 0.3217  2 Au 3.09-3.10
La 0.8013 0.5549 0.8217  2 Au 3.09-3.10
La 0.8013 0.9451 0.8217  2 Au 3.09-3.10
Dy 0.0251 0.2500 0.6397  2 Au 2.92-2.99
Dy 0.4749 0.7500 0.1397  2 Au 2.92-2.99
Dy 0.5251 0.2500 0.8603  2 Au 2.92-2.99
Dy 0.9749 0.7500 0.3603  2 Au 2.92-2.99
Au 0.1021 0.7500 0.9496  2 Dy 2.92-2.99, 4 La 3.09-3.10
Au 0.3979 0.2500 0.4496  2 Dy 2.92-2.99, 4 La 3.09-3.10
Au 0.6021 0.7500 0.5504  2 Dy 2.92-2.99, 4 La 3.09-3.10
Au 0.8979 0.2500 0.0504  2 Dy 2.92-2.99, 4 La 3.09-3.10

---

no.,energy relative to the elements (eV/atom)
1,-0.804
2,-0.664
3,-0.744
4,-0.808
5,-0.844
6,-0.759
7,-0.348
8,-0.762
9,-0.789
10,-0.398